1.
Computed, not measured: an optimized crystal structure of NdEr2 at the PBE-GGA level of DFT. Values from VASP.

Properties
Energy above the most stable polymorph in this dataset: 2.172 eV per atom
Symmetry: Fd-3m
Spin magnetization: 0.9916 μB per atom
Calculated formation energy: 2.458 eV per atom

Cell and atoms, written as Quantum ESPRESSO input:
```
&SYSTEM
  ibrav = 0, nat = 6, ntyp = 2
/
ATOMIC_SPECIES
Er 167.26 Er.upf
Nd 144.24 Nd.upf
CELL_PARAMETERS angstrom
-0.6921 -7.5151 -6.6325
-6.4048 0.6792 -7.7112
3.4951 1.2069 -9.3420
ATOMIC_POSITIONS crystal
Er 0.8750 0.8750 0.3750
Er 0.8750 0.3750 0.8750
Er 0.3750 0.8750 0.8750
Er 0.8750 0.8750 0.8750
Nd 0.0000 0.0000 0.0000
Nd 0.7500 0.7500 0.7500
```

2.
Computed, not measured: an optimized crystal structure of AlZn2Cu at the PBE-GGA level of DFT. Values from VASP.

Properties
Symmetry: F-43m

Cell and atoms, written as Quantum ESPRESSO input:
```
&SYSTEM
  ibrav = 0, nat = 4, ntyp = 3
/
ATOMIC_SPECIES
Al 26.98 Al.upf
Cu 63.55 Cu.upf
Zn 65.41 Zn.upf
CELL_PARAMETERS angstrom
1.2131 -4.0564 0.7918
-1.4143 -2.0206 3.5312
-2.8522 -3.2085 -0.3512
ATOMIC_POSITIONS crystal
Al 0.2500 0.2500 0.2500
Cu 0.0000 0.0000 0.0000
Zn 0.5000 0.5000 0.5000
Zn 0.7500 0.7500 0.7500
```

3.
Computed, not measured: an optimized crystal structure of ErSnPO at the PBE-GGA level of DFT. Values from VASP.

Properties
Energy above the most stable polymorph in this dataset: 0.086 eV per atom
Symmetry: P4/nmm
Spin magnetization: 0.0058 μB per atom

Cell and atoms, written as Quantum ESPRESSO input:
```
&SYSTEM
  ibrav = 0, nat = 8, ntyp = 4
/
ATOMIC_SPECIES
Er 167.26 Er.upf
O 16.00 O.upf
P 30.97 P.upf
Sn 118.71 Sn.upf
CELL_PARAMETERS angstrom
4.0438 0.0000 0.0000
0.0000 4.0438 0.0000
0.0000 0.0000 9.6942
ATOMIC_POSITIONS crystal
Er 0.2500 0.2500 0.1028
Er 0.7500 0.7500 0.8972
O 0.7500 0.2500 0.0000
O 0.2500 0.7500 0.0000
P 0.7500 0.7500 0.2730
P 0.2500 0.2500 0.7270
Sn 0.7500 0.2500 0.5000
Sn 0.2500 0.7500 0.5000
```

4.
Computed, not measured: an optimized crystal structure of LaPrNO at the PBE-GGA level of DFT. Values from VASP.

Properties
Energy above the most stable polymorph in this dataset: 0.070 eV per atom
Symmetry: Pmc2_1
Spin magnetization: 0.1955 μB per atom

Cell and atoms, written as Quantum ESPRESSO input:
```
&SYSTEM
  ibrav = 0, nat = 8, ntyp = 4
/
ATOMIC_SPECIES
La 138.91 La.upf
N 14.01 N.upf
O 16.00 O.upf
Pr 140.91 Pr.upf
CELL_PARAMETERS angstrom
3.6414 0.9748 1.5031
-1.7702 5.6260 0.6398
-2.2768 -1.4506 6.4569
ATOMIC_POSITIONS crystal
La 0.5000 0.9842 0.1652
La 0.5000 0.4842 0.8348
N 0.0000 0.8909 0.3402
N 0.0000 0.3909 0.6598
O 0.5000 0.3921 0.1786
O 0.5000 0.8921 0.8214
Pr 0.0000 0.4868 0.3302
Pr 0.0000 0.9868 0.6698
```

no.,raw total energy (eV/atom)
1,-2.172
2,-2.459
3,-6.108
4,-7.672